1.
Compound: La2Nd3Cd2
Source: Alexandria via LeMat-Bulk
Functional: PBE
Structure: optimized geometry

POSCAR file:
```
La2Nd3Cd2
1.0
1.8929 -15.9395 0.0000
1.8929 15.9395 0.0000
0.0000 0.0000 3.7375
La Nd Cd
2 3 2
Direct
0.2064 0.7936 0.0000 La
0.7936 0.2064 0.0000 La
0.0792 0.9208 0.0000 Nd
0.5000 0.5000 0.5000 Nd
0.9208 0.0792 0.0000 Nd
0.3601 0.6399 0.5000 Cd
0.6399 0.3601 0.5000 Cd
```

Calculated values
- offset from the most stable computed form (eV/f.u.) = 0.19
- ΔE_f (eV per atom) = -0.12
- DOS at the Fermi energy (states/eV/f.u.) = 9.2
- total energy (Ry per atom) = -0.282

=====

2.
Compound: Na5Br2OF
Source: Alexandria via LeMat-Bulk
Functional: PBE
Structure: optimized geometry

POSCAR file:
```
Na5Br2OF
1.0
-2.1824 3.2932 6.9977
2.1824 -3.2932 6.9977
2.1824 3.2932 -6.9977
Na Br O F
5 2 1 1
Direct
0.0000 0.0000 0.0000 Na
0.1277 0.3846 0.7431 Na
0.3584 0.6154 0.7431 Na
0.6416 0.3846 0.2569 Na
0.8723 0.6154 0.2569 Na
0.2180 0.2180 0.0000 Br
0.7820 0.7820 0.0000 Br
0.0000 0.5000 0.5000 O
0.5000 0.0000 0.5000 F
```

Calculated values
- energy relative to the elements, uncorrected (eV per atom) = -1.547
- DOS at the Fermi energy (states/eV/f.u.) = 0.0
- total energy (Ry per atom) = -0.251

=====

3.
Compound: ZrReP
Source: Alexandria via LeMat-Bulk
Functional: PBE
Structure: optimized geometry

POSCAR file:
```
ZrReP
1.0
4.9107 -1.6485 0.0000
4.9107 1.6485 0.0000
-1.0721 0.0000 6.1570
Zr Re P
2 2 2
Direct
0.0000 0.0000 0.0000 Zr
0.2485 0.2485 0.6883 Zr
0.6315 0.6315 0.3360 Re
0.9115 0.9115 0.4226 Re
0.2818 0.2818 0.1495 P
0.5316 0.5316 0.6768 P
```

Calculated values
- ΔE_f (eV per atom) = -0.59
- DOS at the Fermi energy (states/eV/f.u.) = 1.4
- total energy (Ry per atom) = -0.690

=====

What is the total energy in the first record? -0.282 Ry per atom

=====

Which of these has the lowest DOS at the Fermi energy? Na5Br2OF

=====

Repeat the first record exactly.
Compound: La2Nd3Cd2
Source: Alexandria via LeMat-Bulk
Functional: PBE
Structure: optimized geometry

POSCAR file:
```
La2Nd3Cd2
1.0
1.8929 -15.9395 0.0000
1.8929 15.9395 0.0000
0.0000 0.0000 3.7375
La Nd Cd
2 3 2
Direct
0.2064 0.7936 0.0000 La
0.7936 0.2064 0.0000 La
0.0792 0.9208 0.0000 Nd
0.5000 0.5000 0.5000 Nd
0.9208 0.0792 0.0000 Nd
0.3601 0.6399 0.5000 Cd
0.6399 0.3601 0.5000 Cd
```

Calculated values
- offset from the most stable computed form (eV/f.u.) = 0.19
- ΔE_f (eV per atom) = -0.12
- DOS at the Fermi energy (states/eV/f.u.) = 9.2
- total energy (Ry per atom) = -0.282

=====

Number 3 is which compound? ZrReP